1.
The following is a DFT calculation (GGA-PBE) of a geometry-optimized AgRuPb2 structure.

Computed properties:
DOS(E_F)	2.81	states/eV per cell
E above lowest polymorph	316.6	meV/atom
formation enthalpy at 0 K	2.56	eV per formula unit

Cell lengths 4.9860, 4.9860, 4.9860 Å; angles 60.00, 60.00, 60.00 degrees
Last column: nearest neighbours and their distance in Å.
Sites, in units of the cell vectors:
1 Ag 0.5000 0.5000 0.5000  4 Pb 3.05, 4 Ru 3.05
2 Pb 0.0000 0.0000 0.0000  4 Pb 3.05, 4 Ru 3.05
3 Pb 0.2500 0.2500 0.2500  4 Ag 3.05, 4 Pb 3.05
4 Ru 0.7500 0.7500 0.7500  4 Pb 3.05, 4 Ag 3.05

=====

2.
The following is a DFT calculation (GGA-PBE) of a geometry-optimized AgRu4Pb structure.

Computed properties:
DOS(E_F)	8.08	states/eV per cell
formation enthalpy at 0 K	4.08	eV per formula unit

Cell lengths 5.2500, 5.2500, 5.2500 Å; angles 60.00, 60.00, 60.00 degrees
Last column: nearest neighbours and their distance in Å.
Sites, in units of the cell vectors:
1 Ag 0.7500 0.7500 0.7500  12 Ru 3.08, 4 Pb 3.21
2 Ru 0.8740 0.3753 0.3753  6 Ru 2.62-2.63
3 Ru 0.3753 0.3753 0.8740  6 Ru 2.62-2.63
4 Ru 0.3753 0.8740 0.3753  6 Ru 2.62-2.63
5 Ru 0.3753 0.3753 0.3753  6 Ru 2.62-2.63
6 Pb 0.0000 0.0000 0.0000  12 Ru 3.08, 4 Ag 3.21

=====

3.
The following is a DFT calculation (GGA-PBE) of a geometry-optimized AgRuPb2 structure.

Computed properties:
DOS(E_F)	2.91	states/eV per cell
E above lowest polymorph	0.0	meV/atom
formation enthalpy at 0 K	1.29	eV per formula unit

Cell lengths 7.0476, 7.0476, 4.5015 Å; angles 71.37, 71.37, 25.90 degrees
Last column: nearest neighbours and their distance in Å.
Sites, in units of the cell vectors:
1 Ag 0.8147 0.8147 0.6853  2 Ru 2.90, 6 Pb 3.15-3.18, 2 Ag 3.16
2 Pb 0.9880 0.9880 0.0119  4 Ru 2.76
3 Pb 0.1956 0.1956 0.3046  2 Ru 2.97, 4 Ag 3.15, 2 Pb 3.16
4 Ru 0.5017 0.5017 0.4981  6 Pb 2.76-2.97, 2 Ag 2.90

=====

4.
The following is a DFT calculation (GGA-PBE) of a geometry-optimized Ag2RuPb structure.

Computed properties:
DOS(E_F)	2.17	states/eV per cell
formation enthalpy at 0 K	1.68	eV per formula unit

Cell lengths 5.9581, 5.9581, 3.0905 Å; angles 75.26, 75.26, 123.96 degrees
Last column: nearest neighbours and their distance in Å.
Sites, in units of the cell vectors:
1 Ag 0.0000 0.0000 0.0000  6 Ag 2.80-3.09, 2 Pb 2.99, 2 Ru 2.99
2 Ag 0.5000 0.5000 0.0000  6 Ag 2.80-3.09, 2 Ru 2.99, 2 Pb 2.99
3 Pb 0.5000 0.0000 0.5000  4 Ru 2.80-2.83, 4 Ag 2.99, 2 Pb 3.09
4 Ru 0.0000 0.5000 0.5000  4 Pb 2.80-2.83, 4 Ag 2.99, 2 Ru 3.09